3
Lattice="2.1667 -3.6870 -2.1432 0.5111 -4.1516 2.3206 -2.5475 -3.8197 -1.3424" Properties=species:S:1:pos:R:3 comment="TmSe2, optimized geometry, DFT GGA-PBE" dft_energy_ev_per_atom=-5.10 crystal_system=cubic spacegroup=Fm-3m pbc="T T T"
Se 0.0977 -8.7438 -0.8738
Se 0.0326 -2.9146 -0.2913
Tm 0.0000 0.0000 0.0000